Material: Tb9Tm3Th2
Method: DFT, PBE-GGA
State: relaxed

The structure in CIF format:
```
data_Tb9Tm3Th2
_chemical_formula_sum 'Tb9 Tm3 Th2'
_symmetry_space_group_name_H-M 'P 1'
_symmetry_Int_Tables_number 1
_cell_length_a 5.0184
_cell_length_b 12.8107
_cell_length_c 11.7834
_cell_angle_alpha 54.22
_cell_angle_beta 50.23
_cell_angle_gamma 53.97
loop_
_symmetry_equiv_pos_as_xyz
'x,y,z'
loop_
_atom_site_label
_atom_site_type_symbol
_atom_site_fract_x
_atom_site_fract_y
_atom_site_fract_z
Tb1 Tb 0.8912 0.6453 0.4273
Tb2 Tb 0.1095 0.2823 0.6447
Tb3 Tb 0.6844 0.9997 0.2106
Tb4 Tb 0.5351 0.5732 0.0702
Tb5 Tb 0.4647 0.3565 0.0003
Tb6 Tb 0.9672 0.8565 0.4987
Tb7 Tb 0.0307 0.0719 0.5743
Tb8 Tb 0.1807 0.4987 0.7140
Tb9 Tb 0.8201 0.4294 0.3573
Tm1 Tm 0.3167 0.9286 0.8604
Tm2 Tm 0.7551 0.2130 0.2835
Tm3 Tm 0.2438 0.7164 0.7878
Th1 Th 0.3926 0.1407 0.9307
Th2 Th 0.6082 0.7877 0.1403
```

Its raw total energy is -69.5 eV for the cell shown. As for the total magnetization: 0.0 Bohr magnetons per cell. As for the symmetry: No. 1.